# 1
The following is a DFT calculation (GGA-PBE) of GaBi2S4 after structural relaxation.

Cell lengths 6.8640, 6.7936, 8.1588 Å; angles 90.00, 105.91, 90.00 degrees
Fractional coordinates of all 14 atoms:
Ga 0.2674 0.7500 0.2082
Ga 0.7326 0.2500 0.7918
Bi 0.7739 0.7500 0.0523
Bi 0.2261 0.2500 0.9477
Bi 0.2951 0.2500 0.4380
Bi 0.7049 0.7500 0.5620
S 0.4911 0.4926 0.2728
S 0.0830 0.7500 0.9250
S 0.9170 0.2500 0.0750
S 0.4911 0.0074 0.2728
S 0.9655 0.2500 0.6405
S 0.5089 0.9926 0.7272
S 0.5089 0.5074 0.7272
S 0.0345 0.7500 0.3595

- V (Å³/f.u.) = 182.9
- formation energy without anion corrections (meV/atom) = -302
- calculated total energy (eV per cell) = -58.8
- theoretical density (g/cm³) = 5.59


# 2
The following is a DFT calculation (GGA-PBE) of GaBiS3 after structural relaxation.

Cell lengths 4.7169, 4.7169, 4.7169 Å; angles 90.00, 90.00, 90.00 degrees
Fractional coordinates of all 5 atoms:
S 0.0000 0.5000 0.0000
S 0.0000 0.0000 0.5000
S 0.5000 0.0000 0.0000
Bi 0.5000 0.5000 0.5000
Ga 0.0000 0.0000 0.0000

- V (Å³/f.u.) = 104.9
- formation energy without anion corrections (meV/atom) = 41
- calculated total energy (eV per cell) = -19.1
- theoretical density (g/cm³) = 5.93


# 3
The following is a DFT calculation (GGA-PBE) of GaBi2S after structural relaxation.

Cell lengths 6.0177, 6.0177, 8.6153 Å; angles 69.56, 69.56, 90.00 degrees
Fractional coordinates of all 8 atoms:
S 0.5000 0.5000 0.0000
S 0.2500 0.7500 0.5000
Bi 0.6110 0.1250 0.2500
Bi 0.1390 0.6250 0.2500
Bi 0.3750 0.3890 0.7500
Bi 0.8750 0.8610 0.7500
Ga 0.0000 0.0000 0.0000
Ga 0.7500 0.2500 0.5000

- V (Å³/f.u.) = 135.6
- formation energy without anion corrections (meV/atom) = 169
- calculated total energy (eV per cell) = -28.5
- theoretical density (g/cm³) = 6.36


Which value of calculated total energy does entry 3 give?
-28.5 eV per cell


Look up the formation energy without anion corrections of the second one.
41 meV/atom


What is the formula in the third record?
GaBi2S